No. 1
MgZn4Ge | PBE | relaxed

The structure in CIF format:
```
data_MgZn4Ge
_space_group_name_H-M_alt 'F -4 3 m'
_space_group_IT_number 216
_space_group_name_Hall 'F -4 2 3'
_cell_length_a 7.417
_cell_length_b 7.417
_cell_length_c 7.417
_cell_angle_alpha 90.00
_cell_angle_beta 90.00
_cell_angle_gamma 90.00
loop_
_atom_site_label
_atom_site_fract_x
_atom_site_fract_y
_atom_site_fract_z
_atom_site_occupancy
Mg1 0.000 0.000 0.000 1
Zn1 0.125 0.125 0.625 1
Ge1 0.250 0.250 0.250 1
```

Calculated values
DFT formation energy: 0.006 eV per atom
Total moment: 0.000 μB/atom
Crystal system: cubic

No. 2
NbBiSe3 | PBE | relaxed

The structure in CIF format:
```
data_NbBiSe3
_space_group_name_H-M_alt 'C 1 2/c 1'
_space_group_IT_number 15
_space_group_name_Hall '-C 2yc'
_cell_length_a 14.474
_cell_length_b 11.764
_cell_length_c 6.342
_cell_angle_alpha 90.00
_cell_angle_beta 93.37
_cell_angle_gamma 90.00
loop_
_atom_site_label
_atom_site_fract_x
_atom_site_fract_y
_atom_site_fract_z
_atom_site_occupancy
Nb1 0.000 0.054 0.250 1
Nb2 0.000 0.194 0.750 1
Bi1 0.187 0.411 0.298 1
Se1 0.092 0.394 0.919 1
Se2 0.114 0.210 0.452 1
Se3 0.123 0.076 0.953 1
```

Calculated values
E_form (uncorrected): -475.0 meV per atom
Total moment: 0.000 μB/atom
Crystal system: monoclinic

No. 3
CdCu4Te3O12 | PBE | relaxed

The structure in CIF format:
```
data_CdCu4Te3O12
_space_group_name_H-M_alt 'R 3 2'
_space_group_IT_number 155
_space_group_name_Hall 'R 3 2"'
_cell_length_a 11.0901
_cell_length_b 11.0901
_cell_length_c 7.5375
_cell_angle_alpha 90.00
_cell_angle_beta 90.00
_cell_angle_gamma 120.00
loop_
_atom_site_label
_atom_site_fract_x
_atom_site_fract_y
_atom_site_fract_z
_atom_site_occupancy
Cd1 0.0000 0.0000 0.0000 1
Cu1 0.0000 0.0000 0.5000 1
Cu2 0.0000 0.3940 0.5000 1
Te1 0.0000 0.5676 0.0000 1
O1 0.0000 0.5984 0.5000 1
O2 0.0000 0.8284 0.5000 1
O3 0.0632 0.2080 0.2012 1
```

Calculated values
E_form (uncorrected): -719.5 meV per atom
Total moment: 0.023 μB/atom
Crystal system: trigonal

No. 4
KHI4 | PBE | relaxed

The structure in CIF format:
```
data_KHI4
_space_group_name_H-M_alt 'C 1 2/c 1'
_space_group_IT_number 15
_space_group_name_Hall '-C 2yc'
_cell_length_a 7.706
_cell_length_b 22.145
_cell_length_c 6.375
_cell_angle_alpha 90.00
_cell_angle_beta 100.82
_cell_angle_gamma 90.00
loop_
_atom_site_label
_atom_site_fract_x
_atom_site_fract_y
_atom_site_fract_z
_atom_site_occupancy
K1 0.000 0.073 0.250 1
H1 0.000 0.432 0.250 1
I1 0.107 0.284 0.594 1
I2 0.243 0.428 0.218 1
```

Calculated values
Total moment: 0.000 μB/atom
Total energy: -2.20 eV per atom
Crystal system: monoclinic

No. 5
CaNdTh2Rh4 | PBE | relaxed

The structure in CIF format:
```
data_CaNdTh2Rh4
_space_group_name_H-M_alt 'F m m 2'
_space_group_IT_number 42
_space_group_name_Hall 'F 2 -2'
_cell_length_a 7.916
_cell_length_b 11.102
_cell_length_c 8.424
_cell_angle_alpha 90.00
_cell_angle_beta 90.00
_cell_angle_gamma 90.00
loop_
_atom_site_label
_atom_site_fract_x
_atom_site_fract_y
_atom_site_fract_z
_atom_site_occupancy
Ca1 0.000 0.000 0.000 1
Nd1 0.000 0.000 0.587 1
Th1 0.250 0.250 0.363 1
Rh1 0.000 0.231 0.125 1
Rh2 0.188 0.000 0.296 1
```

Calculated values
DFT formation energy: -0.649 eV per atom
Total moment: 0.000 μB/atom
Crystal system: orthorhombic

No. 6
HgGeCl3 | PBE | relaxed

The structure in CIF format:
```
data_HgGeCl3
_space_group_name_H-M_alt 'P 1 21/m 1'
_space_group_IT_number 11
_space_group_name_Hall '-P 2yb'
_cell_length_a 6.512
_cell_length_b 7.895
_cell_length_c 6.915
_cell_angle_alpha 90.00
_cell_angle_beta 112.91
_cell_angle_gamma 90.00
loop_
_atom_site_label
_atom_site_fract_x
_atom_site_fract_y
_atom_site_fract_z
_atom_site_occupancy
Hg1 0.174 0.250 0.176 1
Ge1 0.435 0.250 0.592 1
Cl1 0.183 0.750 0.193 1
Cl2 0.312 0.028 0.714 1
```

Calculated values
E_form (uncorrected): -600.1 meV per atom
Total moment: 0.000 μB/atom
Crystal system: monoclinic

No. 7
Nd2TmMg | PBE | relaxed

The structure in CIF format:
```
data_Nd2TmMg
_space_group_name_H-M_alt 'R -3 m'
_space_group_IT_number 166
_space_group_name_Hall '-R 3 2"'
_cell_length_a 3.4917
_cell_length_b 3.4917
_cell_length_c 37.3549
_cell_angle_alpha 90.00
_cell_angle_beta 90.00
_cell_angle_gamma 120.00
loop_
_atom_site_label
_atom_site_fract_x
_atom_site_fract_y
_atom_site_fract_z
_atom_site_occupancy
Nd1 0.0000 0.0000 0.0897 1
Tm1 0.0000 0.0000 0.5000 1
Mg1 0.0000 0.0000 0.0000 1
```

Calculated values
DFT formation energy: 0.178 eV per atom
Total moment: 0.000 μB/atom
Crystal system: trigonal

No. 8
Ho6SiTe3S2 | PBE | relaxed

The structure in CIF format:
```
data_Ho6SiTe3S2
_space_group_name_H-M_alt 'C 1 2/m 1'
_space_group_IT_number 12
_space_group_name_Hall '-C 2y'
_cell_length_a 7.082
_cell_length_b 12.257
_cell_length_c 7.405
_cell_angle_alpha 90.00
_cell_angle_beta 108.51
_cell_angle_gamma 90.00
loop_
_atom_site_label
_atom_site_fract_x
_atom_site_fract_y
_atom_site_fract_z
_atom_site_occupancy
Ho1 0.235 0.166 0.210 1
Ho2 0.238 0.500 0.209 1
Si1 0.000 0.000 0.000 1
Te1 0.000 0.167 0.500 1
Te2 0.000 0.500 0.500 1
S1 0.000 0.333 0.000 1
```

Calculated values
E_form (uncorrected): -1486.3 meV per atom
Total moment: 0.000 μB/atom
Crystal system: monoclinic

No. 9
LiPuU2S6 | PBE | relaxed

The structure in CIF format:
```
data_LiPuU2S6
_space_group_name_H-M_alt 'P 4 m m'
_space_group_IT_number 99
_space_group_name_Hall 'P 4 -2'
_cell_length_a 6.080
_cell_length_b 6.080
_cell_length_c 6.685
_cell_angle_alpha 90.00
_cell_angle_beta 90.00
_cell_angle_gamma 90.00
loop_
_atom_site_label
_atom_site_fract_x
_atom_site_fract_y
_atom_site_fract_z
_atom_site_occupancy
Li1 0.000 0.000 0.000 1
Pu1 0.500 0.500 0.029 1
U1 0.000 0.500 0.460 1
S1 0.000 0.000 0.640 1
S2 0.240 0.240 0.220 1
S3 0.500 0.500 0.622 1
```

Calculated values
E_form (uncorrected): -1064.7 meV per atom
Total moment: 0.900 μB/atom
Crystal system: tetragonal

No. 10
CuOsS2 | PBE | relaxed

The structure in CIF format:
```
data_CuOsS2
_space_group_name_H-M_alt 'F m -3 m'
_space_group_IT_number 225
_space_group_name_Hall '-F 4 2 3'
_cell_length_a 5.995
_cell_length_b 5.995
_cell_length_c 5.995
_cell_angle_alpha 90.00
_cell_angle_beta 90.00
_cell_angle_gamma 90.00
loop_
_atom_site_label
_atom_site_fract_x
_atom_site_fract_y
_atom_site_fract_z
_atom_site_occupancy
Cu1 0.000 0.000 0.000 1
Os1 0.000 0.000 0.500 1
S1 0.250 0.250 0.250 1
```

Calculated values
E_form (uncorrected): 417.7 meV per atom
Total moment: 0.000 μB/atom
Crystal system: cubic

No. 11
Sr2Ca2Se | PBE | relaxed

The structure in CIF format:
```
data_Sr2Ca2Se
_space_group_name_H-M_alt 'P 4/m b m'
_space_group_IT_number 127
_space_group_name_Hall '-P 4 2ab'
_cell_length_a 8.166
_cell_length_b 8.166
_cell_length_c 6.786
_cell_angle_alpha 90.00
_cell_angle_beta 90.00
_cell_angle_gamma 90.00
loop_
_atom_site_label
_atom_site_fract_x
_atom_site_fract_y
_atom_site_fract_z
_atom_site_occupancy
Sr1 0.173 0.327 0.000 1
Ca1 0.156 0.656 0.500 1
Se1 0.000 0.000 0.000 1
```

Calculated values
E_form (uncorrected): -460.0 meV per atom
Total moment: 0.000 μB/atom
Crystal system: tetragonal

No. 12
Ir3Ru2Pt2 | PBE | relaxed

The structure in CIF format:
```
data_Ir3Ru2Pt2
_space_group_name_H-M_alt 'C m m m'
_space_group_IT_number 65
_space_group_name_Hall '-C 2 2'
_cell_length_a 3.895
_cell_length_b 19.749
_cell_length_c 2.723
_cell_angle_alpha 90.00
_cell_angle_beta 90.00
_cell_angle_gamma 90.00
loop_
_atom_site_label
_atom_site_fract_x
_atom_site_fract_y
_atom_site_fract_z
_atom_site_occupancy
Ir1 0.000 0.000 0.000 1
Ir2 0.000 0.431 0.500 1
Ru1 0.000 0.135 0.000 1
Pt1 0.000 0.295 0.500 1
```

Calculated values
DFT formation energy: 0.048 eV per atom
Total moment: 0.000 μB/atom
Crystal system: orthorhombic

No. 13
Nd3Dy4Al4 | PBE | relaxed

The structure in CIF format:
```
data_Nd3Dy4Al4
_space_group_name_H-M_alt 'I m m m'
_space_group_IT_number 71
_space_group_name_Hall '-I 2 2'
_cell_length_a 5.165
_cell_length_b 7.005
_cell_length_c 17.027
_cell_angle_alpha 90.00
_cell_angle_beta 90.00
_cell_angle_gamma 90.00
loop_
_atom_site_label
_atom_site_fract_x
_atom_site_fract_y
_atom_site_fract_z
_atom_site_occupancy
Nd1 0.000 0.000 0.000 1
Nd2 0.000 0.500 0.105 1
Dy1 0.000 0.270 0.321 1
Al1 0.000 0.000 0.180 1
Al2 0.000 0.194 0.500 1
```

Calculated values
DFT formation energy: -0.192 eV per atom
Total moment: 0.000 μB/atom
Crystal system: orthorhombic

No. 14
ZnRuW | PBE | relaxed

The structure in CIF format:
```
data_ZnRuW
_space_group_name_H-M_alt 'P 3 m 1'
_space_group_IT_number 156
_space_group_name_Hall 'P 3 -2"'
_cell_length_a 2.7978
_cell_length_b 2.7978
_cell_length_c 6.6494
_cell_angle_alpha 90.00
_cell_angle_beta 90.00
_cell_angle_gamma 120.00
loop_
_atom_site_label
_atom_site_fract_x
_atom_site_fract_y
_atom_site_fract_z
_atom_site_occupancy
Zn1 0.0000 0.0000 0.0000 1
Ru1 0.6667 0.3333 0.3326 1
W1 0.3333 0.6667 0.6481 1
```

Calculated values
DFT formation energy: 0.094 eV per atom
Total moment: 0.000 μB/atom
Crystal system: trigonal

No. 15
TmCdCuIr | PBE | relaxed

The structure in CIF format:
```
data_TmCdCuIr
_space_group_name_H-M_alt 'F -4 3 m'
_space_group_IT_number 216
_space_group_name_Hall 'F -4 2 3'
_cell_length_a 6.633
_cell_length_b 6.633
_cell_length_c 6.633
_cell_angle_alpha 90.00
_cell_angle_beta 90.00
_cell_angle_gamma 90.00
loop_
_atom_site_label
_atom_site_fract_x
_atom_site_fract_y
_atom_site_fract_z
_atom_site_occupancy
Tm1 0.000 0.000 0.000 1
Cd1 0.000 0.000 0.500 1
Cu1 0.250 0.250 0.250 1
Ir1 0.250 0.250 0.750 1
```

Calculated values
DFT formation energy: -0.315 eV per atom
Total moment: 0.000 μB/atom
Crystal system: cubic

No. 16
Be2GaRh | PBE | relaxed

The structure in CIF format:
```
data_Be2GaRh
_space_group_name_H-M_alt 'P 4/m m m'
_space_group_IT_number 123
_space_group_name_Hall '-P 4 2'
_cell_length_a 2.992
_cell_length_b 2.992
_cell_length_c 5.134
_cell_angle_alpha 90.00
_cell_angle_beta 90.00
_cell_angle_gamma 90.00
loop_
_atom_site_label
_atom_site_fract_x
_atom_site_fract_y
_atom_site_fract_z
_atom_site_occupancy
Be1 0.000 0.000 0.223 1
Ga1 0.500 0.500 0.500 1
Rh1 0.500 0.500 0.000 1
```

Calculated values
DFT formation energy: -0.349 eV per atom
Total moment: 0.000 μB/atom
Crystal system: tetragonal

No. 17
KSrV | PBE | relaxed

The structure in CIF format:
```
data_KSrV
_space_group_name_H-M_alt 'P n m a'
_space_group_IT_number 62
_space_group_name_Hall '-P 2ac 2n'
_cell_length_a 10.400
_cell_length_b 3.991
_cell_length_c 13.520
_cell_angle_alpha 90.00
_cell_angle_beta 90.00
_cell_angle_gamma 90.00
loop_
_atom_site_label
_atom_site_fract_x
_atom_site_fract_y
_atom_site_fract_z
_atom_site_occupancy
K1 0.188 0.250 0.017 1
Sr1 0.023 0.250 0.716 1
V1 0.025 0.250 0.475 1
```

Calculated values
DFT formation energy: 0.806 eV per atom
Total moment: 0.000 μB/atom
Crystal system: orthorhombic

No. 18
TiFePb2 | PBE | relaxed

The structure in CIF format:
```
data_TiFePb2
_space_group_name_H-M_alt 'I -4 2 d'
_space_group_IT_number 122
_space_group_name_Hall 'I -4 2bw'
_cell_length_a 4.265
_cell_length_b 4.265
_cell_length_c 19.416
_cell_angle_alpha 90.00
_cell_angle_beta 90.00
_cell_angle_gamma 90.00
loop_
_atom_site_label
_atom_site_fract_x
_atom_site_fract_y
_atom_site_fract_z
_atom_site_occupancy
Ti1 0.000 0.000 0.000 1
Fe1 0.000 0.000 0.500 1
Pb1 0.243 0.250 0.625 1
```

Calculated values
DFT formation energy: 0.828 eV per atom
Total moment: 0.000 μB/atom
Crystal system: tetragonal

No. 19
ZnHPdAu2 | PBE | relaxed

The structure in CIF format:
```
data_ZnHPdAu2
_space_group_name_H-M_alt 'P 4/m m m'
_space_group_IT_number 123
_space_group_name_Hall '-P 4 2'
_cell_length_a 4.023
_cell_length_b 4.023
_cell_length_c 4.283
_cell_angle_alpha 90.00
_cell_angle_beta 90.00
_cell_angle_gamma 90.00
loop_
_atom_site_label
_atom_site_fract_x
_atom_site_fract_y
_atom_site_fract_z
_atom_site_occupancy
Zn1 0.000 0.000 0.000 1
H1 0.000 0.000 0.500 1
Pd1 0.500 0.500 0.000 1
Au1 0.000 0.500 0.500 1
```

Calculated values
Total moment: 0.000 μB/atom
Total energy: -3.24 eV per atom
Crystal system: tetragonal

No. 20
BiMo2Pd | PBE | relaxed

The structure in CIF format:
```
data_BiMo2Pd
_space_group_name_H-M_alt 'I -4 2 d'
_space_group_IT_number 122
_space_group_name_Hall 'I -4 2bw'
_cell_length_a 6.139
_cell_length_b 6.139
_cell_length_c 11.329
_cell_angle_alpha 90.00
_cell_angle_beta 90.00
_cell_angle_gamma 90.00
loop_
_atom_site_label
_atom_site_fract_x
_atom_site_fract_y
_atom_site_fract_z
_atom_site_occupancy
Bi1 0.000 0.000 0.000 1
Mo1 0.205 0.250 0.625 1
Pd1 0.000 0.000 0.500 1
```

Calculated values
DFT formation energy: 1.522 eV per atom
Total moment: 0.308 μB/atom
Crystal system: tetragonal